# 1
A crystal of La2AgMo relaxed with PBEsol, computed with meta-GGA SCAN.

Values from the calculation:
crystal system	tetragonal
ρ	8.797	g/cm³
energy	-2.77113	Ry per atom

a = 4.4191 Å, b = 4.4191 Å, c = 9.3103 Å
α = 90.00°, β = 90.00°, γ = 90.00°
Space group I-4m2 (No. 119)
Inequivalent atoms, fractional coordinates:
La  0.0000  0.0000  0.0000 (multiplicity 2)
La  0.0000  0.5000  0.2500 (multiplicity 2)
Ag  0.0000  0.5000  0.7500 (multiplicity 2)
Mo  0.0000  0.0000  0.5000 (multiplicity 2)


# 2
A crystal of ScRe2Ir relaxed with PBEsol, computed with meta-GGA SCAN.

Values from the calculation:
crystal system	tetragonal
ρ	16.280	g/cm³
energy	-4.19572	Ry per atom
ΔE to the lowest computed polymorph	34	meV/atom

a = 2.8150 Å, b = 2.8150 Å, c = 7.8463 Å
α = 90.00°, β = 90.00°, γ = 90.00°
Space group P4mm (No. 99)
Inequivalent atoms, fractional coordinates:
Sc  0.0000  0.0000  0.0000 (multiplicity 1)
Re  0.0000  0.0000  0.4913 (multiplicity 1)
Re  0.5000  0.5000  0.7242 (multiplicity 1)
Ir  0.5000  0.5000  0.2634 (multiplicity 1)


# 3
A crystal of NaCrHg2Sb relaxed with PBEsol, computed with meta-GGA SCAN.

Values from the calculation:
crystal system	tetragonal
ρ	6.900	g/cm³
energy	-2.83590	Ry per atom
raw formation energy	0.65	eV/atom

a = 5.0959 Å, b = 5.0959 Å, c = 5.5410 Å
α = 90.00°, β = 90.00°, γ = 90.00°
Space group P4/mmm (No. 123)
Inequivalent atoms, fractional coordinates:
Na  0.0000  0.0000  0.0000 (multiplicity 1)
Cr  0.5000  0.5000  0.5000 (multiplicity 1)
Hg  0.0000  0.5000  0.0000 (multiplicity 2)
Sb  0.0000  0.0000  0.5000 (multiplicity 1)


# 4
A crystal of ReBiTe2 relaxed with PBEsol, computed with meta-GGA SCAN.

Values from the calculation:
crystal system	trigonal
ρ	9.661	g/cm³
energy	-4.09249	Ry per atom
raw formation energy	0.36	eV/atom

a = 3.6668 Å, b = 3.6668 Å, c = 28.8007 Å
α = 90.00°, β = 90.00°, γ = 120.00°
Space group R-3m (No. 166, hexagonal axes)
Inequivalent atoms, fractional coordinates:
Re  0.0000  0.0000  0.0000 (multiplicity 3)
Bi  0.0000  0.0000  0.5000 (multiplicity 3)
Te  0.0000  0.0000  0.3901 (multiplicity 6)


# 5
A crystal of YMoN3 relaxed with PBEsol, computed with meta-GGA SCAN.

Values from the calculation:
crystal system	cubic
ρ	5.106	g/cm³
energy	-1.22757	Ry per atom
raw formation energy	1.42	eV/atom

a = 4.1941 Å, b = 4.1941 Å, c = 4.1941 Å
α = 90.00°, β = 90.00°, γ = 90.00°
Space group Pm-3m (No. 221)
Inequivalent atoms, fractional coordinates:
Y  0.0000  0.0000  0.0000 (multiplicity 1)
Mo  0.5000  0.5000  0.5000 (multiplicity 1)
N  0.0000  0.0000  0.5000 (multiplicity 3)


# 6
A crystal of BaMg2Zn relaxed with PBEsol, computed with meta-GGA SCAN.

Values from the calculation:
crystal system	orthorhombic
ρ	3.620	g/cm³
energy	-1.16144	Ry per atom

a = 4.6564 Å, b = 3.7569 Å, c = 13.1816 Å
α = 90.00°, β = 90.00°, γ = 90.00°
Space group Amm2 (No. 38)
Inequivalent atoms, fractional coordinates:
Ba  0.0000  0.0000  0.0000 (multiplicity 2)
Mg  0.0000  0.0000  0.7333 (multiplicity 2)
Mg  0.5000  0.0000  0.2992 (multiplicity 2)
Zn  0.5000  0.0000  0.6270 (multiplicity 2)


# 7
A crystal of LaAg2Hg relaxed with PBEsol, computed with meta-GGA SCAN.

Values from the calculation:
crystal system	monoclinic
ρ	10.051	g/cm³
energy	-3.22304	Ry per atom

a = 8.3117 Å, b = 4.7908 Å, c = 5.3729 Å
α = 90.00°, β = 120.96°, γ = 90.00°
Space group Cm (No. 8)
Inequivalent atoms, fractional coordinates:
La  0.0000  0.0000  0.0000 (multiplicity 2)
Ag  0.0214  0.5000  0.5643 (multiplicity 2)
Ag  0.2220  0.0000  0.6662 (multiplicity 2)
Hg  0.2743  0.5000  0.3219 (multiplicity 2)


# 8
A crystal of Ca2AlSe relaxed with PBEsol, computed with meta-GGA SCAN.

Values from the calculation:
crystal system	trigonal
ρ	2.805	g/cm³
energy	-0.93976	Ry per atom
raw formation energy	-1.00	eV/atom
ΔE to the lowest computed polymorph	0	meV/atom

a = 3.9038 Å, b = 3.9038 Å, c = 25.0434 Å
α = 90.00°, β = 90.00°, γ = 120.00°
Space group R-3m (No. 166, hexagonal axes)
Inequivalent atoms, fractional coordinates:
Ca  0.0000  0.0000  0.2376 (multiplicity 6)
Al  0.0000  0.0000  0.0000 (multiplicity 3)
Se  0.0000  0.0000  0.5000 (multiplicity 3)


# 9
A crystal of La2SiSnGe relaxed with PBEsol, computed with meta-GGA SCAN.

Values from the calculation:
crystal system	tetragonal
ρ	5.589	g/cm³
energy	-2.24415	Ry per atom
raw formation energy	-0.29	eV/atom

a = 5.6557 Å, b = 5.6557 Å, c = 4.6189 Å
α = 90.00°, β = 90.00°, γ = 90.00°
Space group P4/mmm (No. 123)
Inequivalent atoms, fractional coordinates:
La  0.0000  0.5000  0.0000 (multiplicity 2)
Si  0.0000  0.0000  0.0000 (multiplicity 1)
Sn  0.5000  0.5000  0.5000 (multiplicity 1)
Ge  0.0000  0.0000  0.5000 (multiplicity 1)


# 10
A crystal of IrRuPt2 relaxed with PBEsol, computed with meta-GGA SCAN.

Values from the calculation:
crystal system	monoclinic
ρ	19.843	g/cm³
energy	-4.52489	Ry per atom
ΔE to the lowest computed polymorph	61	meV/atom

a = 9.0414 Å, b = 2.7212 Å, c = 4.7188 Å
α = 90.00°, β = 99.84°, γ = 90.00°
Space group Cm (No. 8)
Inequivalent atoms, fractional coordinates:
Ir  0.0000  0.0000  0.0000 (multiplicity 2)
Ru  0.2578  0.0000  0.7715 (multiplicity 2)
Pt  0.0069  0.5000  0.5137 (multiplicity 2)
Pt  0.2522  0.5000  0.2602 (multiplicity 2)


# 11
A crystal of Au3SF relaxed with PBEsol, computed with meta-GGA SCAN.

Values from the calculation:
crystal system	cubic
ρ	10.895	g/cm³
energy	-3.23644	Ry per atom
raw formation energy	0.09	eV/atom

a = 4.6079 Å, b = 4.6079 Å, c = 4.6079 Å
α = 90.00°, β = 90.00°, γ = 90.00°
Space group Pm-3m (No. 221)
Inequivalent atoms, fractional coordinates:
Au  0.0000  0.0000  0.5000 (multiplicity 3)
S  0.0000  0.0000  0.0000 (multiplicity 1)
F  0.5000  0.5000  0.5000 (multiplicity 1)


# 12
A crystal of BeAsPt3 relaxed with PBEsol, computed with meta-GGA SCAN.

Values from the calculation:
crystal system	cubic
ρ	14.668	g/cm³
energy	-3.44623	Ry per atom

a = 4.2314 Å, b = 4.2314 Å, c = 4.2314 Å
α = 90.00°, β = 90.00°, γ = 90.00°
Space group Pm-3m (No. 221)
Inequivalent atoms, fractional coordinates:
Be  0.0000  0.0000  0.0000 (multiplicity 1)
As  0.5000  0.5000  0.5000 (multiplicity 1)
Pt  0.0000  0.0000  0.5000 (multiplicity 3)